KTl2As2 (GGA-PBE, optimized geometry); excess energy over the best structure of this formula in the dataset = 133 meV/atom; ΔE_f = -42 meV per atom; DOS(E_F) = 1.725 states/eV/cell; total magnetic moment = 0.00 μB per cell
1.0
-2.771 -1.532 -2.913
3.204 -2.128 -1.929
-1.289 -8.640 2.593
K Tl As
1 2 2
direct
0.000 0.000 0.000
0.371 0.371 0.259
0.629 0.629 0.741
0.750 0.250 0.500
0.250 0.750 0.500

=====

K2TlAs (GGA-PBE, optimized geometry); excess energy over the best structure of this formula in the dataset = 136 meV/atom; ΔE_f = -193 meV per atom; DOS(E_F) = 0.867 states/eV/cell; total magnetic moment = 0.00 μB per cell
1.0
-1.130 -4.568 -3.118
3.004 -4.724 0.722
-2.387 -4.525 2.385
As K Tl
1 2 1
direct
0.500 0.500 0.500
0.000 0.000 0.000
0.250 0.250 0.250
0.750 0.750 0.750

=====

KTl2As (GGA-PBE, optimized geometry); excess energy over the best structure of this formula in the dataset = 34 meV/atom; ΔE_f = -136 meV per atom; DOS(E_F) = 3.072 states/eV/cell; total magnetic moment = 0.00 μB per cell
1.0
4.552 0.000 0.000
0.000 4.713 -0.380
0.000 0.635 6.384
As K Tl
1 1 2
direct
0.000 0.370 0.477
0.500 0.866 0.678
0.000 0.883 0.146
0.500 0.381 0.198

=====

KTl2As (GGA-PBE, optimized geometry); excess energy over the best structure of this formula in the dataset = 52 meV/atom; ΔE_f = -118 meV per atom; DOS(E_F) = 0.139 states/eV/cell; total magnetic moment = 0.00 μB per cell
1.0
5.289 -0.043 0.030
3.526 3.943 0.030
1.661 0.735 6.682
As K Tl
1 1 2
direct
0.494 0.494 0.413
0.771 0.771 0.721
0.998 0.998 0.084
0.237 0.237 0.283

=====

KTl2As (GGA-PBE, optimized geometry); excess energy over the best structure of this formula in the dataset = 92 meV/atom; ΔE_f = -78 meV per atom; DOS(E_F) = 0.133 states/eV/cell; total magnetic moment = 0.00 μB per cell
1.0
7.171 -0.190 -0.118
5.624 4.453 -0.118
5.624 1.874 4.041
As K Tl
1 1 2
direct
0.522 0.522 0.522
0.763 0.763 0.763
0.974 0.974 0.974
0.241 0.241 0.241

=====

KTl2As (GGA-PBE, optimized geometry); excess energy over the best structure of this formula in the dataset = 76 meV/atom; ΔE_f = -93 meV per atom; DOS(E_F) = 0.157 states/eV/cell; total magnetic moment = 0.00 μB per cell
1.0
0.000 3.905 3.905
3.905 0.000 3.905
3.905 3.905 0.000
K Tl As
1 2 1
direct
0.000 0.000 0.000
0.250 0.250 0.250
0.750 0.750 0.750
0.500 0.500 0.500

=====

KTlAs (GGA-PBE, optimized geometry); excess energy over the best structure of this formula in the dataset = 118 meV/atom; ΔE_f = -138 meV per atom; DOS(E_F) = 1.268 states/eV/cell; total magnetic moment = 0.00 μB per cell
1.0
-2.468 -2.698 6.261
-0.729 -5.488 4.684
2.775 0.407 2.330
As K Tl
1 1 1
direct
0.013 0.013 0.987
0.347 0.347 0.653
0.639 0.639 0.361

=====

K4Tl3As2 (GGA-PBE, optimized geometry); ΔE_f = -219 meV per atom; DOS(E_F) = 4.498 states/eV/cell; total magnetic moment = 0.00 μB per cell
1.0
-1.319 4.384 0.897
-6.286 -2.541 3.179
6.733 -1.893 7.018
K Tl As
4 3 2
direct
0.220 0.697 0.440
0.780 0.303 0.560
0.561 0.841 0.122
0.439 0.159 0.878
0.119 0.196 0.237
0.881 0.804 0.763
0.000 0.500 0.000
0.382 0.570 0.765
0.618 0.430 0.235

=====

K2TlAs2 (GGA-PBE, optimized geometry); excess energy over the best structure of this formula in the dataset = 0 meV/atom; ΔE_f = -316 meV per atom; DOS(E_F) = 5.497 states/eV/cell; total magnetic moment = 0.00 μB per cell
1.0
5.207 0.000 1.226
2.519 6.014 0.973
0.322 -0.256 10.299
K Tl As
4 2 4
direct
0.314 0.271 0.101
0.490 0.332 0.687
0.686 0.729 0.899
0.510 0.668 0.313
0.782 0.078 0.358
0.218 0.922 0.642
0.980 0.136 0.905
0.116 0.320 0.449
0.020 0.864 0.095
0.884 0.680 0.551

=====

K2Tl3As (GGA-PBE, optimized geometry); ΔE_f = -166 meV per atom; DOS(E_F) = 2.552 states/eV/cell; total magnetic moment = 0.00 μB per cell
1.0
4.966 0.000 2.080
2.308 6.091 1.457
0.137 -0.292 6.642
K Tl As
2 3 1
direct
0.561 0.202 0.675
0.436 0.809 0.319
0.842 0.617 0.698
0.838 0.252 0.072
0.161 0.735 0.943
0.161 0.384 0.293

=====

K4Tl5As (GGA-PBE, optimized geometry); ΔE_f = -162 meV per atom; DOS(E_F) = 0.808 states/eV/cell; total magnetic moment = 0.00 μB per cell
1.0
-2.496 3.225 6.038
-7.018 -2.945 3.068
2.551 -3.153 7.134
K Tl As
4 5 1
direct
0.838 0.655 0.774
0.612 0.226 0.655
0.492 0.774 0.345
0.266 0.345 0.226
0.269 0.694 0.847
0.116 0.153 0.694
0.963 0.847 0.306
0.810 0.306 0.153
0.287 0.000 0.000
0.836 0.000 0.000

=====

KTl2As (GGA-PBE, optimized geometry); excess energy over the best structure of this formula in the dataset = 234 meV/atom; ΔE_f = 65 meV per atom; DOS(E_F) = 1.837 states/eV/cell; total magnetic moment = 0.00 μB per cell
1.0
6.403 0.009 0.000
-3.110 5.597 0.000
0.000 0.000 3.313
As K Tl
1 1 2
direct
0.500 0.000 0.500
0.000 0.500 0.500
0.000 0.000 0.000
0.500 0.500 0.000